1.
PBE ErScOs, optimized geometry; formation energy from the elements = 11.6 kcal/mol of atoms; magnetization = 0.00 Bohr magnetons per cell
1.0
0.0000 3.2149 3.2149
3.2149 0.0000 3.2149
3.2149 3.2149 0.0000
Er Os Sc
1 1 1
Cartesian
1.6075 1.6075 1.6075 Er
4.8224 4.8224 4.8224 Os
0.0000 0.0000 0.0000 Sc

2.
PBE SmPb, optimized geometry; uncorrected energy = -7.7 eV for the cell shown; magnetization = 0.00 Bohr magnetons per cell
1.0
-2.3051 2.8076 3.4561
-1.6331 4.5910 -1.1816
-4.9200 0.8927 -0.3696
Pb Sm
1 1
Cartesian
0.0000 0.0000 0.0000 Pb
-2.2146 2.0728 0.4762 Sm

3.
PBE Bi3W, optimized geometry; uncorrected energy = -46.0 eV for the cell shown; magnetization = 0.01 Bohr magnetons per cell
1.0
-3.9247 4.3415 -3.6281
3.3123 0.3346 -1.3892
-1.8256 -6.6206 -5.9476
Bi W
6 2
Cartesian
-0.7878 0.9713 -1.6444 Bi
-2.4043 2.2165 -5.1987 Bi
-1.4888 -1.5709 -3.9282 Bi
-0.9491 -0.3736 -7.0367 Bi
-0.0336 -4.1610 -5.7661 Bi
-1.6501 -2.9158 -9.3205 Bi
0.0017 0.8934 -4.4645 W
-2.4396 -2.8379 -6.5004 W

4.
PBE TmLuSi2W, optimized geometry; uncorrected energy = -71.4 eV for the cell shown; magnetization = 0.00 Bohr magnetons per cell
1.0
-4.8710 3.3946 -0.7875
-5.6160 0.6631 1.9723
7.3185 3.7843 5.7213
Lu Si Tm W
2 4 2 2
Cartesian
1.1661 0.7809 1.0877 Lu
-4.3345 7.0611 5.8183 Lu
-6.1212 2.7311 1.0505 Si
-2.5026 3.4710 2.7597 Si
-0.6659 4.3709 4.1463 Si
2.9528 5.1109 5.8556 Si
-5.7020 4.7754 3.1870 Tm
2.5335 3.0666 3.7191 Tm
-1.9894 1.5849 1.0316 W
-1.1791 6.2570 5.8745 W

5.
PBE Cu5Ag4, optimized geometry; formation energy from the elements = 2.0 kcal/mol of atoms
1.0
6.8817 -1.4201 0.0000
6.8817 1.4201 0.0000
-1.0118 0.0000 6.7251
Ag Cu
4 5
Cartesian
10.6330 0.0000 1.1776 Ag
8.5581 0.0000 3.0969 Ag
4.1933 0.0000 3.6282 Ag
2.1185 0.0000 5.5476 Ag
1.2569 0.0000 0.8186 Cu
6.1085 0.0000 1.2421 Cu
-0.5059 0.0000 3.3626 Cu
6.6430 0.0000 5.4830 Cu
11.4945 0.0000 5.9065 Cu

6.
PBE KNdZnTe3, optimized geometry; uncorrected energy = -44.2 eV for the cell shown; magnetization = 0.00 Bohr magnetons per cell
1.0
10.2451 -2.2977 0.0000
10.2451 2.2977 0.0000
-1.9812 0.0000 8.9921
K Nd Te Zn
2 2 6 2
Cartesian
2.5278 0.0000 0.6006 K
15.9812 0.0000 8.3915 K
16.1722 0.0000 3.8414 Nd
2.3367 0.0000 5.1508 Nd
10.2451 0.0000 0.0000 Te
6.4292 0.0000 1.7123 Te
13.1304 0.0000 3.1086 Te
-0.9906 0.0000 4.4961 Te
5.3786 0.0000 5.8835 Te
12.0797 0.0000 7.2798 Te
8.9753 0.0000 2.4125 Zn
9.5336 0.0000 6.5796 Zn

7.
PBE HfZrFeSi2, optimized geometry; uncorrected energy = -83.4 eV for the cell shown; magnetization = 0.03 Bohr magnetons per cell
1.0
4.9163 -1.9494 0.0000
4.9163 1.9494 0.0000
-4.5090 0.0000 8.2767
Fe Hf Si Zr
2 2 4 2
Cartesian
2.1587 0.0000 1.0418 Fe
3.1650 0.0000 7.2350 Fe
6.1966 0.0000 3.3064 Hf
-0.8729 0.0000 4.9703 Hf
6.0464 0.0000 0.5992 Si
3.3427 0.0000 3.1163 Si
1.9810 0.0000 5.1604 Si
-0.7227 0.0000 7.6775 Si
-0.7678 0.0000 1.4519 Zr
6.0915 0.0000 6.8249 Zr

8.
PBE Tl4OsO4, optimized geometry; uncorrected energy = -45.9 eV for the cell shown; magnetization = 2.00 Bohr magnetons per cell
1.0
4.9042 -3.0818 0.0000
4.9042 3.0818 0.0000
-1.6169 0.0000 5.8020
O Os Tl
4 1 4
Cartesian
5.6234 -1.7215 1.1210 O
5.6234 1.7215 1.1210 O
2.5681 -1.7215 4.6810 O
2.5681 1.7215 4.6810 O
0.0000 0.0000 0.0000 Os
3.5911 0.0000 1.0918 Tl
7.3380 0.0000 2.2793 Tl
0.8535 0.0000 3.5227 Tl
4.6005 0.0000 4.7102 Tl

9.
PBE AcLaAu4, optimized geometry; formation energy from the elements = -19.2 kcal/mol of atoms; magnetization = 0.01 Bohr magnetons per cell
1.0
-3.9306 0.0065 2.7517
-1.5797 -4.1156 1.9218
4.2842 1.2161 6.1358
Ac Au La
1 4 1
Cartesian
-3.5483 -4.0940 3.3138 Ac
-2.6807 -1.0251 4.5594 Au
-0.5886 -2.4082 3.3682 Au
-0.6451 -0.4474 7.4733 Au
1.4473 -1.8304 6.2824 Au
-1.4070 -3.4848 6.3823 La

10.
PBE Sc3NiSn3Pd2, optimized geometry; uncorrected energy = -54.2 eV for the cell shown; magnetization = 0.00 Bohr magnetons per cell
1.0
7.4665 0.0000 0.0000
-3.7332 6.4661 0.0000
0.0000 0.0000 3.5483
Ni Pd Sc Sn
1 2 3 3
Cartesian
0.0000 0.0000 0.0000 Ni
3.7332 2.1554 1.7741 Pd
0.0000 4.3108 1.7741 Pd
2.9105 0.0000 0.0000 Sc
-1.4552 2.5205 0.0000 Sc
2.2780 3.9456 0.0000 Sc
5.5002 0.0000 1.7741 Sn
0.9831 1.7028 1.7741 Sn
-2.7501 4.7633 1.7741 Sn

11.
PBE Zr3Al3CuNiAu, optimized geometry; uncorrected energy = -54.6 eV for the cell shown; magnetization = 0.00 Bohr magnetons per cell
1.0
6.7760 0.0000 0.0000
-3.3880 5.8682 0.0000
0.0000 0.0000 3.8863
Al Au Cu Ni Zr
3 1 1 1 3
Cartesian
-0.8035 1.4121 1.9431 Al
2.5669 4.4663 1.9431 Al
-1.7633 5.8580 1.9431 Al
3.3880 1.9561 1.9431 Au
0.0000 3.9121 1.9431 Cu
0.0000 0.0000 0.0000 Ni
1.2845 2.4050 0.0000 Zr
-1.9475 3.5533 0.0000 Zr
0.6630 5.7781 0.0000 Zr

12.
PBE LiZnFeAu, optimized geometry; uncorrected energy = -15.1 eV for the cell shown; magnetization = 2.83 Bohr magnetons per cell
1.0
-0.1407 0.2993 4.3119
-3.7399 0.8789 1.9855
-1.9902 -3.0620 2.3162
Au Fe Li Zn
1 1 1 1
Cartesian
-2.9354 -0.9419 4.3068 Au
-4.4031 -1.4128 6.4602 Fe
-1.4677 -0.4709 2.1534 Li
0.0000 0.0000 0.0000 Zn

> Number 6 is which compound?

KNdZnTe3